# TbPrAlGe (GGA-PBE, optimized geometry)
data_TbPrAlGe
_cell_length_a 4.1017
_cell_length_b 4.4833
_cell_length_c 11.1582
_cell_angle_alpha 90.00
_cell_angle_beta 90.00
_cell_angle_gamma 90.00
_space_group_name_H-M_alt 'A m m 2'
_space_group_IT_number 38
_space_group_name_Hall 'A 2 -2'
loop_
_atom_site_label
_atom_site_fract_x
_atom_site_fract_y
_atom_site_fract_z
Tb1 0.0000 0.0000 0.0000
Pr1 0.5000 0.0000 0.7180
Al1 0.5000 0.0000 0.4337
Ge1 0.0000 0.0000 0.2861
# Formation energy in meV per atom: -665
# DOS at the Fermi energy in states/eV/f.u.: 3.35

---

# BaTeI6 (GGA-PBE, optimized geometry)
data_BaTeI6
_cell_length_a 7.8347
_cell_length_b 7.8449
_cell_length_c 8.5049
_cell_angle_alpha 90.04
_cell_angle_beta 117.38
_cell_angle_gamma 119.93
_space_group_name_H-M_alt 'P -1'
_space_group_IT_number 2
_space_group_name_Hall '-P 1'
loop_
_atom_site_label
_atom_site_fract_x
_atom_site_fract_y
_atom_site_fract_z
Ba1 0.0000 0.0000 0.0000
Te1 0.0000 0.5000 0.5000
I1 0.1784 0.4666 0.2663
I2 0.2004 0.2889 0.7339
I3 0.4443 0.9109 0.7336
# Uncorrected formation energy in eV/f.u.: -5.350
# DOS at the Fermi energy in states/eV/f.u.: 0.00

---

# HgTe3P (GGA-PBE, optimized geometry)
data_HgTe3P
_cell_length_a 5.6085
_cell_length_b 5.6085
_cell_length_c 5.6085
_cell_angle_alpha 90.00
_cell_angle_beta 90.00
_cell_angle_gamma 90.00
_space_group_name_H-M_alt 'P m -3 m'
_space_group_IT_number 221
_space_group_name_Hall '-P 4 2 3'
loop_
_atom_site_label
_atom_site_fract_x
_atom_site_fract_y
_atom_site_fract_z
Hg1 0.0000 0.0000 0.0000
Te1 0.0000 0.0000 0.5000
P1 0.5000 0.5000 0.5000
# Uncorrected formation energy in eV/f.u.: 5.624
# DOS at the Fermi energy in states/eV/f.u.: 5.02
# E above lowest polymorph in meV per atom: 708.0

---

# Sm5Y3P8 (GGA-PBE, optimized geometry)
data_Sm5Y3P8
_cell_length_a 8.1461
_cell_length_b 8.1461
_cell_length_c 19.9523
_cell_angle_alpha 90.00
_cell_angle_beta 90.00
_cell_angle_gamma 120.00
_space_group_name_H-M_alt 'R -3 m'
_space_group_IT_number 166
_space_group_name_Hall '-R 3 2"'
loop_
_atom_site_label
_atom_site_fract_x
_atom_site_fract_y
_atom_site_fract_z
Sm1 0.0000 0.0000 0.0000
Sm2 0.0000 0.0000 0.5000
Sm3 0.0000 0.5000 0.0000
Y1 0.0000 0.5000 0.5000
P1 0.0000 0.0000 0.2482
P2 0.0024 0.5012 0.7512
# Formation energy in meV per atom: -1590
# DOS at the Fermi energy in states/eV/f.u.: 2.20

---

# CuTeSeI (GGA-PBE, optimized geometry)
data_CuTeSeI
_cell_length_a 8.3379
_cell_length_b 5.1421
_cell_length_c 13.4322
_cell_angle_alpha 90.00
_cell_angle_beta 114.38
_cell_angle_gamma 90.00
_space_group_name_H-M_alt 'P 1 21/c 1'
_space_group_IT_number 14
_space_group_name_Hall '-P 2ybc'
loop_
_atom_site_label
_atom_site_fract_x
_atom_site_fract_y
_atom_site_fract_z
Cu1 0.1889 0.1245 0.2470
Te1 0.2924 0.0253 0.6524
Se1 0.4088 0.7084 0.8280
I1 0.0842 0.1609 0.8872
# Uncorrected formation energy in eV/f.u.: -0.578
# E above lowest polymorph in meV per atom: 0.0

---

# TiReNi (GGA-PBE, optimized geometry)
data_TiReNi
_cell_length_a 7.9961
_cell_length_b 4.1173
_cell_length_c 5.2316
_cell_angle_alpha 90.00
_cell_angle_beta 101.02
_cell_angle_gamma 90.00
_space_group_name_H-M_alt 'C 1 m 1'
_space_group_IT_number 8
_space_group_name_Hall 'C -2y'
loop_
_atom_site_label
_atom_site_fract_x
_atom_site_fract_y
_atom_site_fract_z
Ti1 0.0000 0.0000 0.0000
Ti2 0.1542 0.5000 0.7932
Re1 0.2971 0.0000 0.6079
Re2 0.4647 0.5000 0.4938
Ni1 0.1502 0.5000 0.2800
Ni2 0.3287 0.0000 0.1215
# Formation energy in meV per atom: -198
# DOS at the Fermi energy in states/eV/f.u.: 2.72
# E above lowest polymorph in meV per atom: 40.1

---

# CdSiSnHg (GGA-PBE, optimized geometry)
data_CdSiSnHg
_cell_length_a 3.9737
_cell_length_b 3.8568
_cell_length_c 6.4528
_cell_angle_alpha 90.00
_cell_angle_beta 106.71
_cell_angle_gamma 90.00
_space_group_name_H-M_alt 'P 1 m 1'
_space_group_IT_number 6
_space_group_name_Hall 'P -2y'
loop_
_atom_site_label
_atom_site_fract_x
_atom_site_fract_y
_atom_site_fract_z
Cd1 0.0000 0.0000 0.0000
Si1 0.8218 0.5000 0.6571
Sn1 0.2673 0.0000 0.5435
Hg1 0.5936 0.5000 0.1952
# Uncorrected formation energy in eV/f.u.: 0.934
# DOS at the Fermi energy in states/eV/f.u.: 1.66
# E above lowest polymorph in meV per atom: 37.1

---

# KRb6Au (GGA-PBE, optimized geometry)
data_KRb6Au
_cell_length_a 5.0881
_cell_length_b 14.3851
_cell_length_c 16.1372
_cell_angle_alpha 90.00
_cell_angle_beta 90.00
_cell_angle_gamma 90.00
_space_group_name_H-M_alt 'A m m 2'
_space_group_IT_number 38
_space_group_name_Hall 'A 2 -2'
loop_
_atom_site_label
_atom_site_fract_x
_atom_site_fract_y
_atom_site_fract_z
K1 0.0000 0.0000 0.0000
Rb1 0.0000 0.0000 0.5040
Rb2 0.0000 0.1531 0.2418
Rb3 0.5000 0.0000 0.7555
Rb4 0.5000 0.2306 0.0099
Au1 0.5000 0.0000 0.1368
# Formation energy in meV per atom: -47
# DOS at the Fermi energy in states/eV/f.u.: 6.40
# E above lowest polymorph in meV per atom: 0.0

---

# Mg2AsS (GGA-PBE, optimized geometry)
data_Mg2AsS
_cell_length_a 6.2156
_cell_length_b 6.2156
_cell_length_c 10.4857
_cell_angle_alpha 90.00
_cell_angle_beta 90.00
_cell_angle_gamma 90.00
_space_group_name_H-M_alt 'I -4 2 d'
_space_group_IT_number 122
_space_group_name_Hall 'I -4 2bw'
loop_
_atom_site_label
_atom_site_fract_x
_atom_site_fract_y
_atom_site_fract_z
Mg1 0.2219 0.2500 0.1250
As1 0.0000 0.0000 0.5000
S1 0.0000 0.0000 0.0000
# Uncorrected formation energy in eV/f.u.: -2.749
# DOS at the Fermi energy in states/eV/f.u.: 0.23

---

# TiFe2B4 (GGA-PBE, optimized geometry)
data_TiFe2B4
_cell_length_a 2.9797
_cell_length_b 3.0799
_cell_length_c 12.5954
_cell_angle_alpha 90.00
_cell_angle_beta 90.00
_cell_angle_gamma 90.00
_space_group_name_H-M_alt 'I m m m'
_space_group_IT_number 71
_space_group_name_Hall '-I 2 2'
loop_
_atom_site_label
_atom_site_fract_x
_atom_site_fract_y
_atom_site_fract_z
Ti1 0.0000 0.0000 0.0000
Fe1 0.0000 0.5000 0.3132
B1 0.0000 0.0000 0.4295
B2 0.0000 0.5000 0.1463
# Formation energy in meV per atom: -624
# DOS at the Fermi energy in states/eV/f.u.: 4.33
# E above lowest polymorph in meV per atom: 0.0

---

# LiVAs2Br (GGA-PBE, optimized geometry)
data_LiVAs2Br
_cell_length_a 4.6546
_cell_length_b 4.6546
_cell_length_c 5.7682
_cell_angle_alpha 90.00
_cell_angle_beta 90.00
_cell_angle_gamma 90.00
_space_group_name_H-M_alt 'P 4/m m m'
_space_group_IT_number 123
_space_group_name_Hall '-P 4 2'
loop_
_atom_site_label
_atom_site_fract_x
_atom_site_fract_y
_atom_site_fract_z
Li1 0.0000 0.0000 0.0000
V1 0.5000 0.5000 0.5000
As1 0.0000 0.5000 0.5000
Br1 0.5000 0.5000 0.0000
# Uncorrected formation energy in eV/f.u.: -0.901
# DOS at the Fermi energy in states/eV/f.u.: 2.34
# E above lowest polymorph in meV per atom: 0.0

---

# Pu2OsC2 (GGA-PBE, optimized geometry)
data_Pu2OsC2
_cell_length_a 6.3631
_cell_length_b 5.1603
_cell_length_c 9.7547
_cell_angle_alpha 90.00
_cell_angle_beta 90.00
_cell_angle_gamma 90.00
_space_group_name_H-M_alt 'P n m a'
_space_group_IT_number 62
_space_group_name_Hall '-P 2ac 2n'
loop_
_atom_site_label
_atom_site_fract_x
_atom_site_fract_y
_atom_site_fract_z
Pu1 0.0278 0.2500 0.2237
Pu2 0.1976 0.2500 0.5458
Os1 0.2240 0.2500 0.8674
C1 0.0346 0.7500 0.2459
C2 0.1647 0.7500 0.5566
# Formation energy in meV per atom: -77
# DOS at the Fermi energy in states/eV/f.u.: 15.37
# E above lowest polymorph in meV per atom: 0.0

---

# CeYAl2 (GGA-PBE, optimized geometry)
data_CeYAl2
_cell_length_a 4.1362
_cell_length_b 4.5108
_cell_length_c 10.6137
_cell_angle_alpha 90.00
_cell_angle_beta 101.20
_cell_angle_gamma 90.00
_space_group_name_H-M_alt 'P 1 21/m 1'
_space_group_IT_number 11
_space_group_name_Hall '-P 2yb'
loop_
_atom_site_label
_atom_site_fract_x
_atom_site_fract_y
_atom_site_fract_z
Ce1 0.0440 0.2500 0.0896
Y1 0.3104 0.7500 0.6184
Al1 0.1566 0.7500 0.3157
Al2 0.4229 0.2500 0.8442
# Formation energy in meV per atom: -378
# DOS at the Fermi energy in states/eV/f.u.: 5.40
# E above lowest polymorph in meV per atom: 0.0

---

# Mg7Ir2Pt2 (GGA-PBE, optimized geometry)
data_Mg7Ir2Pt2
_cell_length_a 6.0326
_cell_length_b 9.5762
_cell_length_c 7.1906
_cell_angle_alpha 90.00
_cell_angle_beta 90.00
_cell_angle_gamma 90.00
_space_group_name_H-M_alt 'C m m m'
_space_group_IT_number 65
_space_group_name_Hall '-C 2 2'
loop_
_atom_site_label
_atom_site_fract_x
_atom_site_fract_y
_atom_site_fract_z
Mg1 0.0000 0.0000 0.0000
Mg2 0.0000 0.5000 0.2211
Mg3 0.2500 0.2500 0.3084
Ir1 0.2016 0.0000 0.5000
Pt1 0.0000 0.2734 0.0000
# Formation energy in meV per atom: -298
# DOS at the Fermi energy in states/eV/f.u.: 6.39

---

# Rb3Cd4Ag (GGA-PBE, optimized geometry)
data_Rb3Cd4Ag
_cell_length_a 6.4019
_cell_length_b 7.6606
_cell_length_c 11.8626
_cell_angle_alpha 90.00
_cell_angle_beta 90.00
_cell_angle_gamma 90.00
_space_group_name_H-M_alt 'I m m 2'
_space_group_IT_number 44
_space_group_name_Hall 'I 2 -2'
loop_
_atom_site_label
_atom_site_fract_x
_atom_site_fract_y
_atom_site_fract_z
Rb1 0.0000 0.0000 0.0000
Rb2 0.0000 0.2448 0.3371
Cd1 0.0000 0.3080 0.6665
Cd2 0.2435 0.5000 0.0858
Ag1 0.0000 0.5000 0.8784
# Formation energy in meV per atom: -37
# DOS at the Fermi energy in states/eV/f.u.: 3.76

---

# ErPuCu2O6 (GGA-PBE, optimized geometry)
data_ErPuCu2O6
_cell_length_a 5.4259
_cell_length_b 5.4259
_cell_length_c 15.3862
_cell_angle_alpha 90.00
_cell_angle_beta 90.00
_cell_angle_gamma 120.00
_space_group_name_H-M_alt 'R -3'
_space_group_IT_number 148
_space_group_name_Hall '-R 3'
loop_
_atom_site_label
_atom_site_fract_x
_atom_site_fract_y
_atom_site_fract_z
Er1 0.0000 0.0000 0.0000
Pu1 0.0000 0.0000 0.5000
Cu1 0.0000 0.0000 0.2439
O1 0.0118 0.6944 0.5800
# Uncorrected formation energy in eV/f.u.: -20.639
# DOS at the Fermi energy in states/eV/f.u.: 4.37

---

# AlMo2Se (GGA-PBE, optimized geometry)
data_AlMo2Se
_cell_length_a 3.2792
_cell_length_b 4.5124
_cell_length_c 8.6758
_cell_angle_alpha 90.00
_cell_angle_beta 90.00
_cell_angle_gamma 90.00
_space_group_name_H-M_alt 'I m m 2'
_space_group_IT_number 44
_space_group_name_Hall 'I 2 -2'
loop_
_atom_site_label
_atom_site_fract_x
_atom_site_fract_y
_atom_site_fract_z
Al1 0.0000 0.0000 0.0000
Mo1 0.0000 0.0000 0.4931
Mo2 0.0000 0.5000 0.7502
Se1 0.0000 0.5000 0.2317
# Uncorrected formation energy in eV/f.u.: 0.664
# DOS at the Fermi energy in states/eV/f.u.: 3.69
# E above lowest polymorph in meV per atom: 255.5

---

# NaCaHg2Rh (GGA-PBE, optimized geometry)
data_NaCaHg2Rh
_cell_length_a 5.3498
_cell_length_b 5.3498
_cell_length_c 5.1484
_cell_angle_alpha 90.00
_cell_angle_beta 90.00
_cell_angle_gamma 90.00
_space_group_name_H-M_alt 'P 4/m m m'
_space_group_IT_number 123
_space_group_name_Hall '-P 4 2'
loop_
_atom_site_label
_atom_site_fract_x
_atom_site_fract_y
_atom_site_fract_z
Na1 0.0000 0.0000 0.0000
Ca1 0.5000 0.5000 0.0000
Hg1 0.0000 0.5000 0.5000
Rh1 0.5000 0.5000 0.5000
# Formation energy in meV per atom: -154
# DOS at the Fermi energy in states/eV/f.u.: 2.95

---

# Cd2ReP (GGA-PBE, optimized geometry)
data_Cd2ReP
_cell_length_a 6.5398
_cell_length_b 6.5398
_cell_length_c 6.5398
_cell_angle_alpha 90.00
_cell_angle_beta 90.00
_cell_angle_gamma 90.00
_space_group_name_H-M_alt 'F -4 3 m'
_space_group_IT_number 216
_space_group_name_Hall 'F -4 2 3'
loop_
_atom_site_label
_atom_site_fract_x
_atom_site_fract_y
_atom_site_fract_z
Cd1 0.0000 0.0000 0.0000
Cd2 0.2500 0.2500 0.2500
Re1 0.0000 0.0000 0.5000
P1 0.2500 0.2500 0.7500
# Formation energy in meV per atom: 832
# DOS at the Fermi energy in states/eV/f.u.: 4.44

---

# Nd3TlTeCl (GGA-PBE, optimized geometry)
data_Nd3TlTeCl
_cell_length_a 9.2418
_cell_length_b 4.2377
_cell_length_c 10.1108
_cell_angle_alpha 90.00
_cell_angle_beta 103.52
_cell_angle_gamma 90.00
_space_group_name_H-M_alt 'P 1 21/m 1'
_space_group_IT_number 11
_space_group_name_Hall '-P 2yb'
loop_
_atom_site_label
_atom_site_fract_x
_atom_site_fract_y
_atom_site_fract_z
Nd1 0.1530 0.2500 0.0939
Nd2 0.1623 0.2500 0.4778
Nd3 0.3359 0.7500 0.8279
Tl1 0.0497 0.2500 0.7562
Te1 0.4070 0.7500 0.1543
Cl1 0.3649 0.7500 0.5474
# Uncorrected formation energy in eV/f.u.: -6.346
# DOS at the Fermi energy in states/eV/f.u.: 4.06

---

Number 1: theoretical density 6.5 Mg/m³. Number 2: theoretical density 4.4 Mg/m³. Number 3: theoretical density 5.8 Mg/m³. Number 4: theoretical density 5.5 Mg/m³. Number 5: theoretical density 5.0 Mg/m³. Number 6: theoretical density 11.5 Mg/m³. Number 7: theoretical density 8.1 Mg/m³. Number 8: theoretical density 2.1 Mg/m³. Number 9: theoretical density 2.6 Mg/m³. Number 10: theoretical density 5.8 Mg/m³. Number 11: theoretical density 3.8 Mg/m³. Number 12: theoretical density 14.6 Mg/m³. Number 13: theoretical density 4.8 Mg/m³. Number 14: theoretical density 7.6 Mg/m³. Number 15: theoretical density 4.6 Mg/m³. Number 16: theoretical density 8.1 Mg/m³. Number 17: theoretical density 7.7 Mg/m³. Number 18: theoretical density 6.4 Mg/m³. Number 19: theoretical density 10.5 Mg/m³. Number 20: theoretical density 6.9 Mg/m³.